# GGA-PBE La2PmI, relaxed
# - Formation energy (no corrections): -1.71 eV per formula unit
# - Density of states at the Fermi level: 16.62 states/eV/cell
# - Total magnetic moment: 2.5 μB per cell
data_La2PmI
_chemical_formula_sum 'La6 Pm3 I3'
_cell_length_a 3.8938
_cell_length_b 3.8938
_cell_length_c 33.0013
_cell_angle_alpha 90.00
_cell_angle_beta 90.00
_cell_angle_gamma 120.00
_symmetry_space_group_name_H-M 'R 3 m'
_symmetry_Int_Tables_number 160
_symmetry_space_group_name_Hall 'R 3 -2"'
loop_
_atom_site_label
_atom_site_type_symbol
_atom_site_fract_x
_atom_site_fract_y
_atom_site_fract_z
La1 La 0.0000 0.0000 0.0000
La2 La 0.0000 0.0000 0.1771
Pm1 Pm 0.0000 0.0000 0.7553
I1 I 0.0000 0.0000 0.5890